No. 1
The following is a DFT calculation (PBE-GGA) of a relaxed BaCo4Ag crystal.

Computed properties:
**Formation enthalpy at 0 K**: 518 meV/atom
**Magnetization**: 6.72 μB/cell
**Space group**: F-43m
**Density of states at the Fermi level**: 8.96 states/eV/cell

a = 5.2097 Å, b = 5.2097 Å, c = 5.2097 Å
α = 60.00°, β = 60.00°, γ = 60.00°
Site moments in Bohr magnetons follow the coordinates.
Positions (direct):
Ba  0.0000  0.0000  0.0000  -0.10
Co  0.3768  0.8695  0.3768  1.76
Co  0.3768  0.3768  0.3768  1.76
Co  0.8695  0.3768  0.3768  1.76
Co  0.3768  0.3768  0.8695  1.76
Ag  0.7500  0.7500  0.7500  0.01


No. 2
The following is a DFT calculation (PBE-GGA) of a relaxed BaCoAg2 crystal.

Computed properties:
**Formation enthalpy at 0 K**: 485 meV/atom
**Magnetization**: 1.07 μB/cell
**Space group**: I4/mmm
**Density of states at the Fermi level**: 5.29 states/eV/cell

a = 5.8128 Å, b = 5.8128 Å, c = 5.8128 Å
α = 136.92°, β = 136.92°, γ = 62.57°
Site moments in Bohr magnetons follow the coordinates.
Positions (direct):
Ag  0.0000  0.0000  0.0000  -0.03
Ag  0.5000  0.5000  0.0000  -0.03
Ba  0.2500  0.7500  0.5000  -0.08
Co  0.7500  0.2500  0.5000  1.33


No. 3
The following is a DFT calculation (PBE-GGA) of a relaxed BaCoAg2 crystal.

Computed properties:
**Formation enthalpy at 0 K**: 390 meV/atom
**Magnetization**: 1.75 μB/cell
**Space group**: P4/mmm
**Density of states at the Fermi level**: 6.12 states/eV/cell

a = 3.4348 Å, b = 3.4289 Å, c = 7.6035 Å
α = 90.00°, β = 90.00°, γ = 90.00°
Site moments in Bohr magnetons follow the coordinates.
Positions (direct):
Ba  0.5000  0.5000  0.2500  0.02
Ag  0.0000  0.0000  0.5708  0.00
Ag  0.0000  0.0000  0.9292  0.00
Co  0.5000  0.5000  0.7500  1.81


No. 4
The following is a DFT calculation (PBE-GGA) of a relaxed Ba3CoAg crystal.

Computed properties:
**Formation enthalpy at 0 K**: 223 meV/atom
**Magnetization**: 0.00 μB/cell
**Space group**: Pm-3m
**Density of states at the Fermi level**: 4.24 states/eV/cell

a = 5.8320 Å, b = 5.8320 Å, c = 5.8320 Å
α = 90.00°, β = 90.00°, γ = 90.00°
Positions (direct):
Ba  0.0000  0.5000  0.0000
Ba  0.0000  0.0000  0.5000
Ba  0.5000  0.0000  0.0000
Ag  0.5000  0.5000  0.5000
Co  0.0000  0.0000  0.0000


No. 5
The following is a DFT calculation (PBE-GGA) of a relaxed BaCoAg4 crystal.

Computed properties:
**Formation enthalpy at 0 K**: 282 meV/atom
**Magnetization**: 1.36 μB/cell
**Space group**: F-43m
**Density of states at the Fermi level**: 9.63 states/eV/cell

a = 5.7054 Å, b = 5.7054 Å, c = 5.7054 Å
α = 60.00°, β = 60.00°, γ = 60.00°
Site moments in Bohr magnetons follow the coordinates.
Positions (direct):
Ba  0.7500  0.7500  0.7500  -0.05
Ag  0.3737  0.3737  0.3737  -0.03
Ag  0.3737  0.3737  0.8790  -0.03
Ag  0.8790  0.3737  0.3737  -0.03
Ag  0.3737  0.8790  0.3737  -0.03
Co  0.0000  0.0000  0.0000  1.74


No. 6
The following is a DFT calculation (PBE-GGA) of a relaxed BaCoAg2 crystal.

Computed properties:
**Formation enthalpy at 0 K**: 184 meV/atom
**Magnetization**: 1.17 μB/cell
**Space group**: Cm
**Density of states at the Fermi level**: 5.28 states/eV/cell

a = 4.6117 Å, b = 4.6117 Å, c = 6.1538 Å
α = 68.11°, β = 68.11°, γ = 59.97°
Site moments in Bohr magnetons follow the coordinates.
Positions (direct):
Ag  0.0131  0.0131  0.9608  0.01
Ag  0.3051  0.3051  0.0851  -0.01
Ba  0.4987  0.4987  0.5034  -0.06
Co  0.6831  0.6831  0.9507  1.45


No. 7
The following is a DFT calculation (PBE-GGA) of a relaxed BaCoAg crystal.

Computed properties:
**Formation enthalpy at 0 K**: 462 meV/atom
**Magnetization**: 1.41 μB/cell
**Space group**: I4mm
**Density of states at the Fermi level**: 6.86 states/eV/cell

a = 6.1347 Å, b = 6.1347 Å, c = 3.6586 Å
α = 72.65°, β = 72.65°, γ = 34.70°
Site moments in Bohr magnetons follow the coordinates.
Positions (direct):
Ag  0.0492  0.0492  0.9508  0.00
Co  0.6176  0.6176  0.3824  1.66
Ba  0.3332  0.3332  0.6668  -0.07


No. 8
The following is a DFT calculation (PBE-GGA) of a relaxed BaCoAg2 crystal.

Computed properties:
**Formation enthalpy at 0 K**: 523 meV/atom
**Magnetization**: 1.79 μB/cell
**Space group**: F-43m
**Density of states at the Fermi level**: 6.86 states/eV/cell

a = 5.1702 Å, b = 5.1702 Å, c = 5.1702 Å
α = 60.00°, β = 60.00°, γ = 60.00°
Site moments in Bohr magnetons follow the coordinates.
Positions (direct):
Co  0.7500  0.7500  0.7500  1.84
Ag  0.0000  0.0000  0.0000  0.00
Ag  0.2500  0.2500  0.2500  0.02
Ba  0.5000  0.5000  0.5000  -0.03


No. 9
The following is a DFT calculation (PBE-GGA) of a relaxed BaCoAg2 crystal.

Computed properties:
**Formation enthalpy at 0 K**: 388 meV/atom
**Magnetization**: 1.33 μB/cell
**Space group**: Pm
**Density of states at the Fermi level**: 5.60 states/eV/cell

a = 4.2581 Å, b = 3.9740 Å, c = 6.2943 Å
α = 73.01°, β = 90.00°, γ = 90.00°
Site moments in Bohr magnetons follow the coordinates.
Positions (direct):
Co  0.5000  0.9099  0.7964  1.52
Ag  0.5000  0.2695  0.1012  0.00
Ag  0.0000  0.8048  0.0339  0.00
Ba  0.0000  0.5157  0.5685  -0.06


No. 10
The following is a DFT calculation (PBE-GGA) of a relaxed BaCrCoAg2 crystal.

Computed properties:
**Formation enthalpy at 0 K**: 1221 meV/atom
**Magnetization**: 6.85 μB/cell
**Space group**: P4/mmm
**Density of states at the Fermi level**: 2.26 states/eV/cell

a = 5.0997 Å, b = 6.0055 Å, c = 5.0997 Å
α = 90.00°, β = 90.00°, γ = 90.00°
Site moments in Bohr magnetons follow the coordinates.
Positions (direct):
Ag  0.0000  0.0000  0.5000  0.12
Ag  0.5000  0.0000  0.0000  0.09
Ba  0.0000  0.5000  0.0000  0.05
Co  0.5000  0.5000  0.5000  2.13
Cr  0.0000  0.0000  0.0000  3.94